## PaInSn2 (PBE-GGA)

Data for a relaxed PaInSn2 crystal.

The structure belongs to space group P4/mmm (No. 123); the cell edges are 3.9770, 3.9770 and 6.5573 Å and the angles 90.00°, 90.00° and 90.00°. Symmetry generates all atoms from Pa at (0.0000, 0.0000, 0.0000), In at (0.0000, 0.0000, 0.5000) and Sn at (0.5000, 0.5000, 0.2548).

For the calculated volume, the calculation gives 103.71 Å³ per cell. The formation energy is -78 meV per atom. The value obtained for the relative energy among the computed polymorphs is 200 meV per atom. The density of states at the Fermi level comes out at 1.301 states/eV per atom.